Record 1
Material: AcV2WO8
Method: DFT, PBE+U
State: optimized geometry

Summary:
Raw total energy: -7.7604 eV per atom

Cell lengths 7.6826, 6.3241, 7.0980 Å; angles 90.00, 100.36, 90.00 degrees
Space group C2/m (No. 12)
Symmetry-distinct sites (fractional):
Ac 0.0000 0.0000 0.0000 (multiplicity 2)
V 0.0508 0.5000 0.2254 (multiplicity 4)
W 0.0000 0.0000 0.5000 (multiplicity 2)
O 0.0051 0.2254 0.2874 (multiplicity 8)
O 0.1619 0.5000 0.0087 (multiplicity 4)
O 0.2486 0.0000 0.5680 (multiplicity 4)

Record 2
Material: Ac2YVO6
Method: DFT, PBE+U
State: optimized geometry

Summary:
Raw total energy: -8.2851 eV per atom
D(E_F): 0.00 states/eV/cell

Cell lengths 5.8688, 5.9753, 10.2159 Å; angles 90.00, 124.56, 90.00 degrees
Space group P2_1/c (No. 14)
Symmetry-distinct sites (fractional):
Ac 0.2384 0.0442 0.2493 (multiplicity 4)
Y 0.5000 0.0000 0.0000 (multiplicity 2)
V 0.0000 0.0000 0.5000 (multiplicity 2)
O 0.1431 0.2174 0.9497 (multiplicity 4)
O 0.2332 0.6970 0.9516 (multiplicity 4)
O 0.3328 0.0297 0.7401 (multiplicity 4)

How do the records compare in total magnetic moment? In the order shown, they have 6.00, 4.00 μB/cell.